[1]
TaHgGeO6 GGA-PBE optimized geometry; symmetry = P312 (149); final energy = -60.4 eV per cell
1.0
-4.826 1.660 -1.271
-3.116 -3.010 -2.983
-1.745 -2.076 3.914
Ta Hg Ge O
1 1 1 6
direct
0.667 0.667 0.500
0.000 0.000 0.000
0.333 0.333 0.500
0.011 0.367 0.282
0.366 0.011 0.718
0.622 0.366 0.718
0.011 0.622 0.718
0.366 0.622 0.282
0.622 0.011 0.282

=====

[2]
TaHg2GeO GGA-PBE optimized geometry; symmetry = P4/mmm (123); final energy = -15.6 eV per cell
1.0
-2.635 -4.032 1.253
4.209 -2.517 0.753
0.024 1.463 4.757
Ge Hg O Ta
1 2 1 1
direct
0.000 0.000 0.000
0.000 0.000 0.500
0.500 0.000 0.000
0.500 0.500 0.500
0.000 0.500 0.000

=====

[3]
HgGe2TeO8 GGA-PBE optimized geometry; symmetry = I-4m2 (119); final energy = -62.4 eV per cell
1.0
5.825 0.207 0.000
-2.397 5.312 0.000
-1.714 -2.760 4.839
Hg Ge Te O
1 2 1 8
direct
0.000 0.000 0.000
0.750 0.250 0.500
0.500 0.500 0.000
0.250 0.750 0.500
0.370 0.047 0.324
0.321 0.520 0.199
0.321 0.122 0.801
0.723 0.047 0.676
0.878 0.679 0.199
0.953 0.277 0.324
0.953 0.630 0.676
0.480 0.679 0.801

=====

[4]
HgGeTe2O8 GGA-PBE optimized geometry; symmetry = C2/m (12); final energy = -59.7 eV per cell
1.0
-0.926 -0.292 -5.488
-5.380 -2.562 -1.785
-5.700 3.028 -2.029
Hg Ge Te O
1 1 2 8
direct
0.500 0.500 0.500
0.000 0.000 0.000
0.275 0.254 0.195
0.725 0.746 0.805
0.913 0.406 0.767
0.678 0.479 0.166
0.087 0.594 0.233
0.322 0.521 0.834
0.642 0.985 0.237
0.358 0.015 0.763
0.136 0.985 0.237
0.864 0.015 0.763

=====

[5]
TlHgGe2O6 GGA-PBE optimized geometry; symmetry = C2/c (15); final energy = -106.1 eV per cell
1.0
-2.381 3.785 3.589
0.897 -3.267 6.811
5.777 4.650 1.698
Tl Hg Ge O
2 2 4 12
direct
0.250 0.897 0.103
0.750 0.103 0.897
0.250 0.285 0.715
0.750 0.715 0.285
0.272 0.778 0.625
0.228 0.375 0.222
0.728 0.222 0.375
0.772 0.625 0.778
0.170 0.951 0.795
0.330 0.205 0.049
0.830 0.049 0.205
0.670 0.795 0.951
0.386 0.848 0.403
0.114 0.597 0.152
0.614 0.152 0.597
0.886 0.403 0.848
0.022 0.677 0.607
0.478 0.393 0.323
0.978 0.323 0.393
0.522 0.607 0.677

=====

[6]
TmHgGeO4 GGA-PBE optimized geometry; symmetry = C2/m (12); final energy = -87.2 eV per cell
1.0
-0.096 2.701 -6.015
-0.135 -3.451 -5.617
-6.690 -0.046 -1.356
Tm Hg Ge O
2 2 2 8
direct
0.296 0.296 0.858
0.704 0.704 0.142
0.891 0.891 0.489
0.109 0.109 0.511
0.627 0.627 0.738
0.373 0.373 0.262
0.291 0.291 0.520
0.709 0.709 0.480
0.104 0.533 0.132
0.521 0.521 0.255
0.467 0.896 0.868
0.533 0.104 0.132
0.479 0.479 0.745
0.896 0.467 0.868

=====

| no. | V (Å³/f.u.) | total magnetization (Bohr magnetons per cell) |
| --- | --- | --- |
| 1 | 114.07 | 0.00 |
| 2 | 122.88 | 0.10 |
| 3 | 152.13 | 0.00 |
| 4 | 159.93 | 0.00 |
| 5 | 157.25 | 0.00 |
| 6 | 119.73 | 0.00 |